Entry 1:
VASP calculation (PBE-GGA) on a relaxed structure of Ac2Ce2Te7.

a b c (Å): 7.633 7.640 7.633
angles (deg): 90.00 96.25 90.00
Site moments in Bohr magnetons follow the coordinates.
Fractional positions:
Te (0.500, 0.767, 0.500)  -0.02
Te (0.000, 0.000, 0.000)  -0.02
Te (0.500, 0.747, 0.000)  -0.02
Te (0.000, 0.253, 0.500)  -0.02
Te (0.500, 0.233, 0.500)  -0.02
Te (0.500, 0.253, 0.000)  -0.02
Te (0.000, 0.747, 0.500)  -0.02
Ce (0.731, 0.000, 0.269)  0.24
Ce (0.269, 0.000, 0.731)  0.24
Ac (0.743, 0.500, 0.743)  0.00
Ac (0.257, 0.500, 0.257)  0.00

Values from the calculation:
SG = Cmmm
E_form (uncorrected) = -1.19 eV per atom
DOS(E_F) = 3.50 states/eV per cell
Energy = -5.01 eV per atom



Entry 2:
VASP calculation (PBE-GGA) on a relaxed structure of CaTmSi2Pt5.

a b c (Å): 4.059 4.059 11.269
angles (deg): 90.00 90.00 90.00
Fractional positions:
Ca (0.000, 0.000, 0.500)
Pt (0.500, 0.000, 0.816)
Pt (0.500, 0.000, 0.184)
Pt (0.500, 0.500, 0.500)
Pt (0.000, 0.500, 0.816)
Pt (0.000, 0.500, 0.184)
Tm (0.000, 0.000, 0.000)
Si (0.500, 0.500, 0.707)
Si (0.500, 0.500, 0.293)

Values from the calculation:
SG = P4/mmm
E_form (uncorrected) = -0.92 eV per atom
DOS(E_F) = 2.32 states/eV per cell
Energy = -6.20 eV per atom



Entry 3:
VASP calculation (PBE-GGA) on a relaxed structure of TlCdCl4.

a b c (Å): 6.159 6.159 6.159
angles (deg): 60.00 60.00 60.00
Site moments in Bohr magnetons follow the coordinates.
Fractional positions:
Cl (0.375, 0.875, 0.375)  0.47
Cl (0.375, 0.375, 0.875)  0.47
Cl (0.875, 0.375, 0.375)  0.47
Cl (0.375, 0.375, 0.375)  0.47
Tl (0.750, 0.750, 0.750)  0.01
Cd (0.000, 0.000, 0.000)  0.23

Values from the calculation:
SG = F-43m
E_form (uncorrected) = 0.04 eV per atom
DOS(E_F) = 2.84 states/eV per cell
Energy = -1.74 eV per atom



Entry 4:
VASP calculation (PBE-GGA) on a relaxed structure of LiRu2Br.

a b c (Å): 4.276 4.276 4.276
angles (deg): 60.00 60.00 60.00
Fractional positions:
Ru (0.750, 0.750, 0.750)
Ru (0.250, 0.250, 0.250)
Br (0.500, 0.500, 0.500)
Li (0.000, 0.000, 0.000)

Values from the calculation:
SG = Fm-3m
E_form (uncorrected) = 0.74 eV per atom
DOS(E_F) = 2.08 states/eV per cell
Energy = -4.79 eV per atom



Entry 5:
VASP calculation (PBE-GGA) on a relaxed structure of Pm5Bi4As.

a b c (Å): 4.520 4.520 16.258
angles (deg): 97.99 97.99 90.00
Fractional positions:
Bi (0.198, 0.198, 0.395)
Bi (0.401, 0.401, 0.801)
Bi (0.599, 0.599, 0.199)
Bi (0.802, 0.802, 0.605)
Pm (0.700, 0.700, 0.401)
Pm (0.907, 0.907, 0.813)
Pm (0.093, 0.093, 0.187)
Pm (0.300, 0.300, 0.599)
Pm (0.500, 0.500, 0.000)
As (0.000, 0.000, 0.000)

Values from the calculation:
SG = I4/mmm
Formation enthalpy at 0 K = -1028 meV per atom
DOS(E_F) = 1.34 states/eV per cell
Energy = -5.42 eV per atom



Entry 6:
VASP calculation (PBE-GGA) on a relaxed structure of Sc2MnAl.

a b c (Å): 9.600 9.600 9.600
angles (deg): 18.46 18.46 18.46
Site moments in Bohr magnetons follow the coordinates.
Fractional positions:
Al (0.492, 0.492, 0.492)  -0.03
Sc (0.244, 0.244, 0.244)  0.23
Sc (0.009, 0.009, 0.009)  -0.15
Mn (0.754, 0.754, 0.754)  3.08

Values from the calculation:
SG = R3m
Formation enthalpy at 0 K = 75 meV per atom
DOS(E_F) = 3.92 states/eV per cell
Energy = -6.32 eV per atom



Entry 7:
VASP calculation (PBE-GGA) on a relaxed structure of CrCd2P.

a b c (Å): 5.229 5.229 5.229
angles (deg): 133.14 133.14 68.44
Site moments in Bohr magnetons follow the coordinates.
Fractional positions:
Cd (0.250, 0.750, 0.500)  -0.01
Cd (0.000, 0.000, 0.000)  -0.01
Cr (0.500, 0.500, 0.000)  3.62
P (0.750, 0.250, 0.500)  -0.05

Values from the calculation:
SG = I-4m2
Formation enthalpy at 0 K = 365 meV per atom
DOS(E_F) = 2.83 states/eV per cell
Energy = -3.85 eV per atom



Entry 8:
VASP calculation (PBE-GGA) on a relaxed structure of Dy2ThPaSb4.

a b c (Å): 4.413 7.652 7.630
angles (deg): 109.49 90.00 90.00
Site moments in Bohr magnetons follow the coordinates.
Fractional positions:
Sb (0.500, 0.247, 0.254)  -0.01
Sb (0.000, 0.757, 0.257)  -0.01
Sb (0.500, 0.753, 0.746)  -0.01
Sb (0.000, 0.243, 0.743)  -0.01
Th (0.500, 0.500, 0.000)  0.02
Dy (0.000, 0.500, 0.500)  0.01
Dy (0.500, 0.000, 0.500)  0.00
Pa (0.000, 0.000, 0.000)  0.83

Values from the calculation:
SG = P2/m
E_form (uncorrected) = -0.89 eV per atom
DOS(E_F) = 8.17 states/eV per cell
Energy = -6.22 eV per atom



Entry 9:
VASP calculation (PBE-GGA) on a relaxed structure of RbBaSn3.

a b c (Å): 6.052 6.052 6.052
angles (deg): 90.00 90.00 90.00
Fractional positions:
Sn (0.000, 0.000, 0.500)
Sn (0.000, 0.500, 0.000)
Sn (0.500, 0.000, 0.000)
Ba (0.500, 0.500, 0.500)
Rb (0.000, 0.000, 0.000)

Values from the calculation:
SG = Pm-3m
Formation enthalpy at 0 K = 598 meV per atom
DOS(E_F) = 4.67 states/eV per cell
Energy = -2.38 eV per atom



Entry 10:
VASP calculation (PBE-GGA) on a relaxed structure of LaEuTl2.

a b c (Å): 3.912 3.912 10.458
angles (deg): 79.22 79.22 60.00
Site moments in Bohr magnetons follow the coordinates.
Fractional positions:
Tl (0.250, 0.250, 0.251)  0.00
Tl (0.750, 0.750, 0.749)  0.00
Eu (0.500, 0.500, 0.500)  6.91
La (0.000, 0.000, 0.000)  0.02

Values from the calculation:
SG = R-3m
Formation enthalpy at 0 K = -269 meV per atom
DOS(E_F) = 11.40 states/eV per cell
Energy = -5.25 eV per atom



Entry 11:
VASP calculation (PBE-GGA) on a relaxed structure of NiSbTe2W.

a b c (Å): 5.035 5.035 4.774
angles (deg): 90.00 90.00 90.00
Site moments in Bohr magnetons follow the coordinates.
Fractional positions:
Ni (0.000, 0.000, 0.000)  -0.06
Sb (0.000, 0.000, 0.500)  -0.09
Te (0.000, 0.500, 0.000)  -0.10
Te (0.500, 0.000, 0.000)  -0.10
W (0.500, 0.500, 0.500)  2.47

Values from the calculation:
SG = P4/mmm
E_form (uncorrected) = 1.10 eV per atom
DOS(E_F) = 3.34 states/eV per cell
Energy = -4.73 eV per atom



Entry 12:
VASP calculation (PBE-GGA) on a relaxed structure of SrScCr2.

a b c (Å): 5.549 5.549 2.810
angles (deg): 90.00 90.00 118.37
Fractional positions:
Cr (0.000, 0.000, 0.000)
Cr (0.500, 0.500, 0.000)
Sc (0.500, 0.000, 0.500)
Sr (0.000, 0.500, 0.500)

Values from the calculation:
SG = Cmmm
Formation enthalpy at 0 K = 1236 meV per atom
DOS(E_F) = 5.32 states/eV per cell
Energy = -5.58 eV per atom



Question: Number 1 is which compound?
Answer: Ac2Ce2Te7